# 1
# Pr3IrCl (PBE, optimized geometry)
# uncorrected formation energy: -0.795 eV/atom
# total magnetic moment: 0.00 μB/atom
data_Pr3IrCl
_space_group_name_H-M_alt 'P 1'
_space_group_IT_number 1
_cell_length_a 3.915
_cell_length_b 9.793
_cell_length_c 7.901
_cell_angle_alpha 90.00
_cell_angle_beta 90.00
_cell_angle_gamma 90.00
loop_
_space_group_symop_operation_xyz
'x,y,z'
loop_
_atom_site_label
_atom_site_type_symbol
_atom_site_fract_x
_atom_site_fract_y
_atom_site_fract_z
Cl1 Cl 0.250 0.750 0.583
Cl2 Cl 0.750 0.250 0.417
Ir1 Ir 0.250 0.750 0.029
Ir2 Ir 0.750 0.250 0.971
Pr1 Pr 0.750 0.928 0.830
Pr2 Pr 0.750 0.572 0.830
Pr3 Pr 0.750 0.750 0.281
Pr4 Pr 0.250 0.250 0.719
Pr5 Pr 0.250 0.072 0.170
Pr6 Pr 0.250 0.428 0.170

---

# 2
# Pr3IrCl2 (PBE, optimized geometry)
# uncorrected formation energy: -1.245 eV/atom
# total magnetic moment: 0.01 μB/atom
data_Pr3IrCl2
_space_group_name_H-M_alt 'P 1'
_space_group_IT_number 1
_cell_length_a 4.110
_cell_length_b 5.988
_cell_length_c 7.778
_cell_angle_alpha 112.64
_cell_angle_beta 105.32
_cell_angle_gamma 90.00
loop_
_space_group_symop_operation_xyz
'x,y,z'
loop_
_atom_site_label
_atom_site_type_symbol
_atom_site_fract_x
_atom_site_fract_y
_atom_site_fract_z
Cl1 Cl 0.827 0.827 0.153
Cl2 Cl 0.173 0.173 0.847
Ir1 Ir 0.500 0.500 0.500
Pr1 Pr 0.500 0.000 0.500
Pr2 Pr 0.863 0.363 0.226
Pr3 Pr 0.137 0.637 0.774

---

# 3
# Pr3Ir2Cl (PBE, optimized geometry)
# uncorrected formation energy: -0.671 eV/atom
# total magnetic moment: 0.00 μB/atom
data_Pr3Ir2Cl
_space_group_name_H-M_alt 'P 1'
_space_group_IT_number 1
_cell_length_a 4.269
_cell_length_b 8.367
_cell_length_c 9.466
_cell_angle_alpha 90.00
_cell_angle_beta 90.00
_cell_angle_gamma 104.78
loop_
_space_group_symop_operation_xyz
'x,y,z'
loop_
_atom_site_label
_atom_site_type_symbol
_atom_site_fract_x
_atom_site_fract_y
_atom_site_fract_z
Ir1 Ir 0.000 0.000 0.500
Ir2 Ir 0.519 0.039 0.750
Ir3 Ir 0.000 0.000 0.000
Ir4 Ir 0.481 0.961 0.250
Pr1 Pr 0.387 0.774 0.555
Pr2 Pr 0.613 0.226 0.055
Pr3 Pr 0.871 0.741 0.250
Pr4 Pr 0.387 0.774 0.945
Pr5 Pr 0.129 0.259 0.750
Pr6 Pr 0.613 0.226 0.445
Cl1 Cl 0.780 0.561 0.750
Cl2 Cl 0.220 0.439 0.250

---

# 4
# PrIrCl (PBE, optimized geometry)
# uncorrected formation energy: -1.383 eV/atom
# ΔE to the lowest computed polymorph: 0.000 eV/atom
# total magnetic moment: 0.00 μB/atom
data_PrIrCl
_space_group_name_H-M_alt 'P 1'
_space_group_IT_number 1
_cell_length_a 4.330
_cell_length_b 4.330
_cell_length_c 10.740
_cell_angle_alpha 88.50
_cell_angle_beta 88.50
_cell_angle_gamma 60.01
loop_
_space_group_symop_operation_xyz
'x,y,z'
loop_
_atom_site_label
_atom_site_type_symbol
_atom_site_fract_x
_atom_site_fract_y
_atom_site_fract_z
Pr1 Pr 0.992 0.992 0.680
Pr2 Pr 0.008 0.008 0.320
Ir1 Ir 0.334 0.334 0.496
Ir2 Ir 0.666 0.666 0.504
Cl1 Cl 0.681 0.681 0.165
Cl2 Cl 0.319 0.319 0.835

---

# 5
# Pr6IrCl11 (PBE, optimized geometry)
# uncorrected formation energy: -1.996 eV/atom
# total magnetic moment: 0.00 μB/atom
data_Pr6IrCl11
_space_group_name_H-M_alt 'P 1'
_space_group_IT_number 1
_cell_length_a 8.342
_cell_length_b 8.342
_cell_length_c 7.427
_cell_angle_alpha 87.02
_cell_angle_beta 87.02
_cell_angle_gamma 101.26
loop_
_space_group_symop_operation_xyz
'x,y,z'
loop_
_atom_site_label
_atom_site_type_symbol
_atom_site_fract_x
_atom_site_fract_y
_atom_site_fract_z
Cl1 Cl 0.489 0.201 0.943
Cl2 Cl 0.093 0.662 0.365
Cl3 Cl 0.302 0.302 0.363
Cl4 Cl 0.338 0.907 0.635
Cl5 Cl 0.907 0.338 0.635
Cl6 Cl 0.799 0.511 0.057
Cl7 Cl 0.511 0.799 0.057
Cl8 Cl 0.662 0.093 0.365
Cl9 Cl 0.201 0.489 0.943
Cl10 Cl 0.698 0.698 0.637
Cl11 Cl 0.000 0.000 0.500
Pr1 Pr 0.194 0.194 0.759
Pr2 Pr 0.710 0.019 0.773
Pr3 Pr 0.981 0.290 0.227
Pr4 Pr 0.019 0.710 0.773
Pr5 Pr 0.290 0.981 0.227
Pr6 Pr 0.806 0.806 0.241
Ir1 Ir 0.000 0.000 0.000

---

# 6
# Pr2IrCl (PBE, optimized geometry)
# uncorrected formation energy: -1.180 eV/atom
# ΔE to the lowest computed polymorph: 0.000 eV/atom
# total magnetic moment: 0.00 μB/atom
data_Pr2IrCl
_space_group_name_H-M_alt 'P 1'
_space_group_IT_number 1
_cell_length_a 4.169
_cell_length_b 4.169
_cell_length_c 7.957
_cell_angle_alpha 74.81
_cell_angle_beta 74.81
_cell_angle_gamma 60.00
loop_
_space_group_symop_operation_xyz
'x,y,z'
loop_
_atom_site_label
_atom_site_type_symbol
_atom_site_fract_x
_atom_site_fract_y
_atom_site_fract_z
Pr1 Pr 0.265 0.265 0.204
Pr2 Pr 0.735 0.735 0.796
Ir1 Ir 0.000 0.000 0.000
Cl1 Cl 0.500 0.500 0.500

---

# 7
# Pr3IrCl3 (PBE, optimized geometry)
# uncorrected formation energy: -1.592 eV/atom
# total magnetic moment: 0.00 μB/atom
data_Pr3IrCl3
_space_group_name_H-M_alt 'P 1'
_space_group_IT_number 1
_cell_length_a 10.360
_cell_length_b 10.360
_cell_length_c 10.360
_cell_angle_alpha 109.47
_cell_angle_beta 109.47
_cell_angle_gamma 109.47
loop_
_space_group_symop_operation_xyz
'x,y,z'
loop_
_atom_site_label
_atom_site_type_symbol
_atom_site_fract_x
_atom_site_fract_y
_atom_site_fract_z
Cl1 Cl 0.501 0.003 0.751
Cl2 Cl 0.501 0.499 0.250
Cl3 Cl 0.249 0.751 0.250
Cl4 Cl 0.999 0.250 0.001
Cl5 Cl 0.251 0.001 0.003
Cl6 Cl 0.750 0.001 0.499
Cl7 Cl 0.750 0.749 0.751
Cl8 Cl 0.997 0.499 0.749
Cl9 Cl 0.503 0.751 0.001
Cl10 Cl 0.251 0.250 0.749
Cl11 Cl 0.249 0.497 0.499
Cl12 Cl 0.999 0.749 0.497
Pr1 Pr 0.988 0.238 0.476
Pr2 Pr 0.976 0.488 0.238
Pr3 Pr 0.512 0.024 0.262
Pr4 Pr 0.250 0.012 0.488
Pr5 Pr 0.250 0.238 0.262
Pr6 Pr 0.762 0.750 0.238
Pr7 Pr 0.524 0.262 0.012
Pr8 Pr 0.762 0.012 0.024
Pr9 Pr 0.738 0.476 0.488
Pr10 Pr 0.988 0.750 0.012
Pr11 Pr 0.738 0.262 0.750
Pr12 Pr 0.512 0.488 0.750
Ir1 Ir 0.750 0.250 0.250
Ir2 Ir 0.500 0.250 0.500
Ir3 Ir 0.000 0.000 0.250
Ir4 Ir 0.750 0.500 0.000

---

# 8
# Pr4IrCl5 (PBE, optimized geometry)
# uncorrected formation energy: -1.711 eV/atom
# total magnetic moment: 0.00 μB/atom
data_Pr4IrCl5
_space_group_name_H-M_alt 'P 1'
_space_group_IT_number 1
_cell_length_a 4.138
_cell_length_b 8.572
_cell_length_c 9.692
_cell_angle_alpha 106.71
_cell_angle_beta 102.33
_cell_angle_gamma 90.00
loop_
_space_group_symop_operation_xyz
'x,y,z'
loop_
_atom_site_label
_atom_site_type_symbol
_atom_site_fract_x
_atom_site_fract_y
_atom_site_fract_z
Ir1 Ir 0.500 0.000 0.000
Pr1 Pr 0.343 0.883 0.686
Pr2 Pr 0.657 0.117 0.314
Pr3 Pr 0.003 0.778 0.006
Pr4 Pr 0.997 0.222 0.994
Cl1 Cl 0.173 0.885 0.347
Cl2 Cl 0.166 0.353 0.332
Cl3 Cl 0.834 0.647 0.668
Cl4 Cl 0.500 0.500 0.000
Cl5 Cl 0.827 0.115 0.653

---

# 9
# Pr6Ir3Cl2 (PBE, optimized geometry)
# uncorrected formation energy: -0.962 eV/atom
# total magnetic moment: 0.00 μB/atom
data_Pr6Ir3Cl2
_space_group_name_H-M_alt 'P 1'
_space_group_IT_number 1
_cell_length_a 7.282
_cell_length_b 7.291
_cell_length_c 7.672
_cell_angle_alpha 80.91
_cell_angle_beta 71.55
_cell_angle_gamma 60.04
loop_
_space_group_symop_operation_xyz
'x,y,z'
loop_
_atom_site_label
_atom_site_type_symbol
_atom_site_fract_x
_atom_site_fract_y
_atom_site_fract_z
Pr1 Pr 0.928 0.668 0.211
Pr2 Pr 0.734 0.000 0.793
Pr3 Pr 0.404 0.668 0.789
Pr4 Pr 0.266 0.000 0.207
Pr5 Pr 0.072 0.332 0.789
Pr6 Pr 0.596 0.332 0.211
Ir1 Ir 0.000 0.000 0.000
Ir2 Ir 0.331 0.339 0.000
Ir3 Ir 0.669 0.661 0.000
Cl1 Cl 0.833 0.333 0.500
Cl2 Cl 0.167 0.667 0.500

---

# 10
# Pr2IrCl (PBE, optimized geometry)
# uncorrected formation energy: -1.005 eV/atom
# ΔE to the lowest computed polymorph: 0.175 eV/atom
# total magnetic moment: 0.00 μB/atom
data_Pr2IrCl
_space_group_name_H-M_alt 'P 1'
_space_group_IT_number 1
_cell_length_a 3.480
_cell_length_b 3.480
_cell_length_c 8.191
_cell_angle_alpha 90.00
_cell_angle_beta 90.00
_cell_angle_gamma 90.00
loop_
_space_group_symop_operation_xyz
'x,y,z'
loop_
_atom_site_label
_atom_site_type_symbol
_atom_site_fract_x
_atom_site_fract_y
_atom_site_fract_z
Ir1 Ir 0.500 0.500 0.000
Pr1 Pr 0.000 0.000 0.218
Pr2 Pr 0.000 0.000 0.782
Cl1 Cl 0.500 0.500 0.500